No. 1
! SrPtSe, relaxed, DFT PBE; values from VASP
&SYSTEM
  ibrav = 0, nat = 6, ntyp = 3
/
ATOMIC_SPECIES
Se 78.96 Se.upf
Pt 195.08 Pt.upf
Sr 87.62 Sr.upf
CELL_PARAMETERS angstrom
4.4987 -0.0012 -0.0011
-0.3225 4.4874 -0.0005
1.5152 2.7790 7.8155
ATOMIC_POSITIONS angstrom
Se 4.2498 3.3872 0.0241
Se 3.6390 3.9509 3.2763
Pt 3.7969 1.7070 4.1491
Pt 3.5155 6.1611 6.9674
Sr 1.3868 3.9177 5.5594
Sr 1.7172 1.2795 1.6523
! uncorrected formation energy: -1.110 eV per atom
! D(E_F): 0.00 states/eV/cell
! E_tot: -4.845 eV/atom

No. 2
! SrPtSe3, relaxed, DFT PBE; values from VASP
&SYSTEM
  ibrav = 0, nat = 5, ntyp = 3
/
ATOMIC_SPECIES
Se 78.96 Se.upf
Pt 195.08 Pt.upf
Sr 87.62 Sr.upf
CELL_PARAMETERS angstrom
-2.7488 3.6754 2.1396
0.0463 -2.5216 4.3911
4.2526 2.4032 1.3352
ATOMIC_POSITIONS angstrom
Se -1.3744 1.8377 1.0698
Se 0.0231 -1.2608 2.1956
Se 2.1263 1.2016 0.6676
Pt 0.0000 0.0000 0.0000
Sr 0.7751 1.7785 3.9329
! E above lowest polymorph: 0 meV per atom
! uncorrected formation energy: -0.600 eV per atom
! D(E_F): 5.63 states/eV/cell
! E_tot: -4.235 eV/atom

No. 3
! SrPt2Se, relaxed, DFT PBE; values from VASP
&SYSTEM
  ibrav = 0, nat = 4, ntyp = 3
/
ATOMIC_SPECIES
Sr 87.62 Sr.upf
Se 78.96 Se.upf
Pt 195.08 Pt.upf
CELL_PARAMETERS angstrom
-2.7965 5.0326 0.8203
-5.4644 1.7763 -0.8971
-4.3222 1.6938 3.5028
ATOMIC_POSITIONS angstrom
Sr -9.4373 6.3770 2.5695
Se -3.1458 2.1257 0.8565
Pt -11.9445 8.0712 3.2522
Pt -6.9300 4.6828 1.8869
! uncorrected formation energy: -0.536 eV per atom
! D(E_F): 2.06 states/eV/cell
! E_tot: -4.848 eV/atom

No. 4
! SrPtSe, relaxed, DFT PBE; values from VASP
&SYSTEM
  ibrav = 0, nat = 6, ntyp = 3
/
ATOMIC_SPECIES
Sr 87.62 Sr.upf
Pt 195.08 Pt.upf
Se 78.96 Se.upf
CELL_PARAMETERS angstrom
4.3580 0.0035 0.0202
-0.0063 4.3577 0.0201
-2.2002 -2.2042 7.6382
ATOMIC_POSITIONS angstrom
Sr -0.9407 -0.7780 4.1798
Sr 1.2442 3.5937 0.3807
Pt 1.2319 1.4107 5.4590
Pt 3.4353 1.4130 1.6401
Se 1.2460 1.3962 2.8915
Se 1.2195 -0.7782 6.7112
! uncorrected formation energy: -1.120 eV per atom
! D(E_F): 0.02 states/eV/cell
! E_tot: -4.856 eV/atom

Which value of E_tot does entry 1 give? -4.845 eV/atom

Which of these has the highest E_tot? SrPtSe3

What is the formula in the third record? SrPt2Se